Density functional theory data (PBE with a Hubbard U) for an optimized crystal structure of PmGaMoO6.

a = 4.907 Å, b = 4.907 Å, c = 9.589 Å
α = 90.00°, β = 90.00°, γ = 90.00°
Element x y z (fractional)
Pm 0.500 0.500 0.161
Pm 0.000 0.000 0.661
Ga 0.500 0.500 0.831
Ga 0.000 0.000 0.331
Mo 0.500 0.500 0.496
Mo 0.000 0.000 0.996
O 0.217 0.783 0.479
O 0.783 0.217 0.479
O 0.283 0.283 0.979
O 0.717 0.717 0.979
O 0.171 0.829 0.164
O 0.829 0.171 0.164
O 0.329 0.329 0.664
O 0.671 0.671 0.664
O 0.795 0.205 0.864
O 0.205 0.795 0.864
O 0.705 0.705 0.364
O 0.295 0.295 0.364

Output
Total DFT energy (no corrections) ... -7.0406 eV per atom